YZrP2Rh5 | GGA-PBE | optimized geometry

The structure in POSCAR format:
```
YZrP2Rh5
1.0
4.0230 0.0000 0.0000
0.0000 4.0230 0.0000
0.0000 0.0000 10.4022
Y Zr P Rh
1 1 2 5
Direct
0.0000 0.0000 0.0000
0.0000 0.0000 0.5000
0.5000 0.5000 0.2171
0.5000 0.5000 0.7829
0.0000 0.5000 0.3179
0.0000 0.5000 0.6821
0.5000 0.0000 0.3179
0.5000 0.0000 0.6821
0.5000 0.5000 0.0000
```

- formation energy from the elements (meV per atom) = -751
- N(E_F) (states/eV/atom) = 0.30
- uncorrected energy (eV per cell) = -69.35